Material: BaMnRuO6
Method: DFT, PBE+U
State: relaxed

Calculated values
E_tot: -6.87 eV/atom
SG: P312, No. 149
crystal system: trigonal

abc: 5.1683 5.1683 5.8042
angles: 90.00 90.00 120.00
Fractional coordinates of all 9 atoms:
Ba (0.0000, 0.0000, 0.0000)
Mn (0.6667, 0.3333, 0.5000)
Ru (0.3333, 0.6667, 0.5000)
O (0.3885, 0.0012, 0.3121)
O (0.3885, 0.3873, 0.6879)
O (0.6127, 0.0012, 0.6879)
O (0.6127, 0.6115, 0.3121)
O (0.9988, 0.3873, 0.3121)
O (0.9988, 0.6115, 0.6879)